1.
The following is a DFT calculation (GGA+U) of an optimized crystal structure of Zn2MoF8.

Cell lengths 4.040, 6.296, 6.584 Å; angles 61.67, 89.59, 90.00 degrees
Space group P-1 (No. 2)
One atom of each set of equivalent atoms:
1 Zn 0.247 0.327 0.349
2 Mo 0.000 0.000 0.000
3 F 0.246 0.153 0.694
4 F 0.253 0.157 0.151
5 F 0.253 0.693 0.149
6 F 0.254 0.673 0.650

Summary:
energy: -4.5319 eV/atom

=====

2.
The following is a DFT calculation (GGA+U) of an optimized crystal structure of Zn2MoF.

Cell lengths 6.568, 6.568, 6.568 Å; angles 90.00, 90.00, 90.00 degrees
Space group Fm-3m (No. 225)
One atom of each set of equivalent atoms:
1 Zn 0.250 0.250 0.250
2 Mo 0.000 0.000 0.000
3 F 0.000 0.000 0.500

Summary:
energy above the lowest structure with this stoichiometry: 236 meV/atom

=====

3.
The following is a DFT calculation (GGA+U) of an optimized crystal structure of ZnMoF3.

Cell lengths 4.296, 4.296, 4.296 Å; angles 90.00, 90.00, 90.00 degrees
Space group Pm-3m (No. 221)
One atom of each set of equivalent atoms:
1 Zn 0.000 0.000 0.000
2 Mo 0.500 0.500 0.500
3 F 0.000 0.500 0.500

Summary:
energy above the lowest structure with this stoichiometry: 0 meV/atom